Mn2TcRhN after structural relaxation, computed with PBE.

```
Mn2TcRhN
1.0
3.804 0.000 0.000
0.000 3.804 0.000
0.000 0.000 3.974
Mn Tc Rh N
2 1 1 1
Cartesian
0.000 1.902 0.000 Mn
1.902 0.000 0.000 Mn
0.000 0.000 1.987 Tc
1.902 1.902 1.987 Rh
0.000 0.000 0.000 N
```

ΔE_f (raw)	-0.06	eV/atom
size of the total moment	0.3	μB/f.u.
theoretical density	9.38	Mg/m³
D(E_F)	1.2018	states/eV per atom
space group	No. 123


Sc2BeAu after structural relaxation, computed with PBE.

```
Sc2BeAu
1.0
3.321 0.000 0.000
0.000 3.321 0.000
0.000 0.000 6.468
Sc Be Au
2 1 1
Cartesian
0.000 0.000 1.507 Sc
0.000 0.000 4.962 Sc
1.660 1.660 0.000 Be
1.660 1.660 3.234 Au
```

size of the total moment	0.0	μB/f.u.
ΔH_f (0 K)	-0.424	eV per atom
theoretical density	6.89	Mg/m³
D(E_F)	0.8546	states/eV per atom
space group	No. 123


VIr2Cl after structural relaxation, computed with PBE.

```
VIr2Cl
1.0
0.000 3.111 3.111
3.111 0.000 3.111
3.111 3.111 0.000
V Ir Cl
1 2 1
Cartesian
0.000 0.000 0.000 V
1.556 1.556 1.556 Ir
4.667 4.667 4.667 Ir
3.111 3.111 3.111 Cl
```

ΔE_f (raw)	0.71	eV/atom
size of the total moment	0.1	μB/f.u.
theoretical density	12.98	Mg/m³
D(E_F)	1.0110	states/eV per atom
space group	No. 225
ΔE to the lowest computed polymorph	0.0000	eV/atom


LiTeMoI2 after structural relaxation, computed with PBE.

```
LiTeMoI2
1.0
5.832 0.000 0.000
0.000 5.832 0.000
0.000 0.000 5.305
Li Te Mo I
1 1 1 2
Cartesian
0.000 0.000 0.000 Li
2.916 2.916 0.000 Te
2.916 2.916 2.653 Mo
0.000 2.916 2.653 I
2.916 0.000 2.653 I
```

ΔE_f (raw)	0.06	eV/atom
size of the total moment	2.8	μB/f.u.
theoretical density	4.46	Mg/m³
D(E_F)	0.5407	states/eV per atom
space group	No. 123
ΔE to the lowest computed polymorph	0.0000	eV/atom


La2MnSe after structural relaxation, computed with PBE.

```
La2MnSe
1.0
3.649 0.000 0.000
0.000 3.649 0.000
0.000 0.000 8.414
La Mn Se
2 1 1
Cartesian
0.000 0.000 0.000 La
1.824 1.824 3.444 La
0.000 0.000 5.307 Mn
1.824 1.824 6.643 Se
```

ΔE_f (raw)	-0.36	eV/atom
size of the total moment	3.4	μB/f.u.
theoretical density	6.10	Mg/m³
D(E_F)	0.9733	states/eV per atom
space group	No. 99


In7SnPb12 after structural relaxation, computed with PBE.

```
In7SnPb12
1.0
6.710 0.000 0.000
2.616 10.292 0.000
0.315 4.638 9.583
In Sn Pb
7 1 12
Cartesian
0.000 0.000 0.000 In
1.660 7.390 7.868 In
4.861 12.304 8.183 In
3.612 4.503 6.485 In
6.029 10.426 3.098 In
4.781 2.626 1.401 In
7.982 7.539 1.716 In
3.355 0.000 0.000 Sn
2.632 10.037 3.384 Pb
1.373 2.545 1.653 Pb
3.048 7.078 4.792 Pb
2.987 5.135 0.050 Pb
4.417 12.392 5.057 Pb
4.682 7.570 1.908 Pb
4.960 7.359 7.676 Pb
5.225 2.538 4.526 Pb
6.655 9.795 9.534 Pb
6.594 7.851 4.791 Pb
8.269 12.385 7.930 Pb
7.010 4.893 6.199 Pb
```

size of the total moment	0.0	μB/f.u.
ΔH_f (0 K)	0.108	eV per atom
theoretical density	8.55	Mg/m³
D(E_F)	0.4411	states/eV per atom
space group	No. 2


FeBi2Rh after structural relaxation, computed with PBE.

```
FeBi2Rh
1.0
-3.727 3.727 3.249
3.727 -3.727 3.249
3.727 3.727 -3.249
Fe Bi Rh
2 4 2
Cartesian
0.000 0.000 0.000 Fe
0.000 3.727 1.624 Fe
1.863 -1.838 2.437 Bi
1.889 1.863 0.812 Bi
1.863 5.564 -0.812 Bi
1.838 1.863 4.061 Bi
3.727 0.000 1.624 Rh
0.000 0.000 3.249 Rh
```

size of the total moment	3.0	μB/f.u.
ΔH_f (0 K)	0.554	eV per atom
theoretical density	10.61	Mg/m³
D(E_F)	1.4507	states/eV per atom
space group	No. 122
ΔE to the lowest computed polymorph	0.2727	eV/atom


PrPuPdRh after structural relaxation, computed with PBE.

```
PrPuPdRh
1.0
0.000 3.542 3.542
3.542 0.000 3.542
3.542 3.542 0.000
Pr Pu Pd Rh
1 1 1 1
Cartesian
0.000 0.000 0.000 Pr
3.542 3.542 3.542 Pu
5.313 5.313 5.313 Pd
1.771 1.771 1.771 Rh
```

size of the total moment	5.4	μB/f.u.
ΔH_f (0 K)	-0.508	eV per atom
theoretical density	11.10	Mg/m³
D(E_F)	3.0593	states/eV per atom
space group	No. 216
ΔE to the lowest computed polymorph	0.0679	eV/atom


Be3AlTc after structural relaxation, computed with PBE.

```
Be3AlTc
1.0
4.175 0.000 0.000
0.000 4.175 0.000
0.000 0.000 4.175
Be Al Tc
3 1 1
Cartesian
0.000 0.000 2.087 Be
0.000 2.087 0.000 Be
2.087 0.000 0.000 Be
2.087 2.087 2.087 Al
0.000 0.000 0.000 Tc
```

size of the total moment	0.0	μB/f.u.
ΔH_f (0 K)	0.867	eV per atom
theoretical density	3.47	Mg/m³
D(E_F)	0.3466	states/eV per atom
space group	No. 221
ΔE to the lowest computed polymorph	0.0000	eV/atom


SmDyCdCo after structural relaxation, computed with PBE.

```
SmDyCdCo
1.0
3.464 0.000 0.000
0.000 3.464 0.000
0.000 0.000 7.728
Sm Dy Cd Co
1 1 1 1
Cartesian
0.000 0.000 0.000 Sm
0.000 0.000 4.444 Dy
1.732 1.732 2.284 Cd
1.732 1.732 6.021 Co
```

size of the total moment	0.6	μB/f.u.
ΔH_f (0 K)	-0.214	eV per atom
theoretical density	8.67	Mg/m³
D(E_F)	0.7124	states/eV per atom
space group	No. 99
ΔE to the lowest computed polymorph	0.0000	eV/atom


CaDy2C after structural relaxation, computed with PBE.

```
CaDy2C
1.0
1.800 1.039 9.755
-1.800 1.039 9.755
0.000 -2.079 9.755
Ca Dy C
1 2 1
Cartesian
0.000 0.000 0.000 Ca
0.000 0.000 3.541 Dy
0.000 0.000 25.725 Dy
0.000 0.000 14.633 C
```

size of the total moment	0.5	μB/f.u.
ΔH_f (0 K)	-0.111	eV per atom
theoretical density	5.72	Mg/m³
D(E_F)	0.9609	states/eV per atom
space group	No. 166
ΔE to the lowest computed polymorph	0.0724	eV/atom


Zn2InMo after structural relaxation, computed with PBE.

```
Zn2InMo
1.0
1.490 0.861 9.145
-1.490 0.861 9.145
0.000 -1.721 9.145
Zn In Mo
2 1 1
Cartesian
0.000 0.000 6.718 Zn
0.000 0.000 20.716 Zn
0.000 0.000 0.000 In
0.000 0.000 13.717 Mo
```

size of the total moment	0.0	μB/f.u.
ΔH_f (0 K)	0.274	eV per atom
theoretical density	8.06	Mg/m³
D(E_F)	0.4992	states/eV per atom
space group	No. 166


Ac2HoTm after structural relaxation, computed with PBE.

```
Ac2HoTm
1.0
0.000 4.214 4.214
4.214 0.000 4.214
4.214 4.214 0.000
Ac Ho Tm
2 1 1
Cartesian
2.107 2.107 2.107 Ac
6.321 6.321 6.321 Ac
0.000 0.000 0.000 Ho
4.214 4.214 4.214 Tm
```

size of the total moment	0.0	μB/f.u.
ΔH_f (0 K)	0.089	eV per atom
theoretical density	8.74	Mg/m³
D(E_F)	1.5682	states/eV per atom
space group	No. 225
ΔE to the lowest computed polymorph	0.0319	eV/atom


Pm3HgPd2 after structural relaxation, computed with PBE.

```
Pm3HgPd2
1.0
3.614 0.000 0.000
0.000 3.614 0.000
0.000 0.000 11.367
Pm Hg Pd
3 1 2
Cartesian
0.000 0.000 0.000 Pm
0.000 0.000 3.582 Pm
0.000 0.000 7.785 Pm
1.807 1.807 5.684 Hg
1.807 1.807 1.832 Pd
1.807 1.807 9.536 Pd
```

size of the total moment	0.0	μB/f.u.
ΔH_f (0 K)	-0.660	eV per atom
theoretical density	9.49	Mg/m³
D(E_F)	0.9414	states/eV per atom
space group	No. 123
ΔE to the lowest computed polymorph	0.0000	eV/atom